Record 1
Mg2CoF6 after structural relaxation. Source: Alexandria, functional PBE+U.

The structure in CIF format:
```
data_Mg2CoF6
_chemical_formula_sum 'Mg6 Co3 F18'
_cell_length_a 5.2445
_cell_length_b 5.2445
_cell_length_c 14.1897
_cell_angle_alpha 90.00
_cell_angle_beta 90.00
_cell_angle_gamma 120.00
_symmetry_space_group_name_H-M 'R 3'
_symmetry_Int_Tables_number 146
_symmetry_space_group_name_Hall 'R 3'
loop_
_atom_site_label
_atom_site_type_symbol
_atom_site_fract_x
_atom_site_fract_y
_atom_site_fract_z
Mg1 Mg 0.0000 0.0000 0.0000
Mg2 Mg 0.0000 0.0000 0.1982
Co1 Co 0.0000 0.0000 0.5052
F1 F 0.0122 0.3398 0.5914
F2 F 0.0292 0.6225 0.7668
```

Values from the calculation:
DOS(E_F) in states/eV/f.u.: 0.0
Total energy in eV for the cell shown: -139.78
Calculated volume in Å³ per cell: 338.00


Record 2
Li4Mn3Cr2Fe3O16 after structural relaxation. Source: Alexandria, functional PBE+U.

The structure in CIF format:
```
data_Li4Mn3Cr2Fe3O16
_chemical_formula_sum 'Li8 Mn6 Cr4 Fe6 O32'
_cell_length_a 10.222
_cell_length_b 5.854
_cell_length_c 9.528
_cell_angle_alpha 90.00
_cell_angle_beta 90.61
_cell_angle_gamma 90.00
_symmetry_space_group_name_H-M 'C 1 m 1'
_symmetry_Int_Tables_number 8
_symmetry_space_group_name_Hall 'C -2y'
loop_
_atom_site_label
_atom_site_type_symbol
_atom_site_fract_x
_atom_site_fract_y
_atom_site_fract_z
Li1 Li 0.000 0.000 0.000
Li2 Li 0.002 0.000 0.502
Li3 Li 0.160 0.500 0.899
Li4 Li 0.326 0.000 0.398
Mn1 Mn 0.082 0.254 0.219
Mn2 Mn 0.169 0.000 0.719
Cr1 Cr 0.166 0.500 0.491
Cr2 Cr 0.334 0.000 0.990
Fe1 Fe 0.329 0.500 0.217
Fe2 Fe 0.414 0.246 0.717
O1 O 0.003 0.000 0.315
O2 O 0.004 0.000 0.813
O3 O 0.015 0.500 0.339
O4 O 0.084 0.244 0.605
O5 O 0.157 0.500 0.112
O6 O 0.159 0.000 0.109
O7 O 0.232 0.276 0.344
O8 O 0.253 0.219 0.844
O9 O 0.326 0.000 0.608
O10 O 0.335 0.500 0.601
O11 O 0.420 0.254 0.105
O12 O 0.477 0.000 0.847
```

Values from the calculation:
DOS(E_F) in states/eV/f.u.: 8.0
Total energy in eV for the cell shown: -374.98
Calculated volume in Å³ per cell: 570.20